The following is a GGA+U calculation of CrCdIO2 after structural relaxation, from Alexandria.

Structure (POSCAR):
```
CrCdIO2
1.0
4.191 0.000 0.000
0.000 4.191 0.000
0.000 0.000 6.626
Cr Cd I O
1 1 1 2
Cartesian
0.000 0.000 0.000
2.095 2.095 3.313
2.095 2.095 0.000
0.000 2.095 3.313
2.095 0.000 3.313
```

- E above lowest polymorph (meV/atom) = 568.9
- symmetry = P4/mmm (123)
- N(E_F) (states/eV/cell) = 2.1